# PBE In2CuBr, optimized geometry
data_In2CuBr
_chemical_formula_sum 'In4 Cu2 Br2'
_space_group_name_H-M_alt 'C 1 m 1'
_space_group_IT_number 8
_cell_length_a 11.834
_cell_length_b 3.353
_cell_length_c 5.718
_cell_angle_alpha 90.00
_cell_angle_beta 118.37
_cell_angle_gamma 90.00
loop_
_space_group_symop_operation_xyz
'x,y,z'
'x,-y,z'
'x+1/2,y+1/2,z'
'x+1/2,-y+1/2,z'
loop_
_atom_site_label
_atom_site_fract_x
_atom_site_fract_y
_atom_site_fract_z
In1 0.000 0.000 0.000
In2 0.222 0.000 0.701
Cu1 0.206 0.500 0.246
Br1 0.395 0.000 0.384
# Formation energy without anion corrections, eV per atom: -0.003
# N(E_F), states/eV/f.u.: 1.63
# Excess energy over the best structure of this formula in the dataset, meV per atom: 117